# 1
Compound: NdThSeS
Source: Alexandria via LeMat-Bulk
Functional: GGA-PBE
Structure: relaxed

DOS at the Fermi energy: 0.815 states/eV/atom
Energy relative to the elements, uncorrected: -674.2 kJ/mol of formula units
Spin magnetization: 0.0 μB per formula unit
V: 25.39 A^3/atom

a b c (Å): 3.9856 3.9856 22.1426
angles (deg): 90.00 90.00 120.00
Space group R3m (No. 160, hexagonal axes)
Unique sites:
Nd 0.0000 0.0000 0.0000 x3
Th 0.0000 0.0000 0.8193 x3
Se 0.0000 0.0000 0.5773 x3
S 0.0000 0.0000 0.4092 x3

***

# 2
Compound: NdTlSeS
Source: Alexandria via LeMat-Bulk
Functional: GGA-PBE
Structure: relaxed

DOS at the Fermi energy: 0.000 states/eV/atom
Energy relative to the elements, uncorrected: -537.2 kJ/mol of formula units
Spin magnetization: 0.0 μB per formula unit
V: 30.19 A^3/atom

a b c (Å): 4.2337 4.2337 23.3349
angles (deg): 90.00 90.00 120.00
Space group R3m (No. 160, hexagonal axes)
Unique sites:
Nd 0.0000 0.0000 0.0000 x3
Tl 0.0000 0.0000 0.1715 x3
Se 0.0000 0.0000 0.4081 x3
S 0.0000 0.0000 0.6047 x3

***

# 3
Compound: Nd2TmSe2S2
Source: Alexandria via LeMat-Bulk
Functional: GGA-PBE
Structure: relaxed

DOS at the Fermi energy: 0.390 states/eV/atom
Energy relative to the elements, uncorrected: -1120.9 kJ/mol of formula units
Spin magnetization: 0.0 μB per formula unit
V: 26.86 A^3/atom

a b c (Å): 5.0092 5.0092 14.9860
angles (deg): 90.00 90.00 90.00
Space group I4/mmm (No. 139)
Unique sites:
Nd 0.0000 0.0000 0.1242 x4
Tm 0.0000 0.0000 0.5000 x2
Se 0.0000 0.0000 0.3158 x4
S 0.0000 0.5000 0.0000 x4

***

# 4
Compound: Nd2Tm2Se2S3
Source: Alexandria via LeMat-Bulk
Functional: GGA-PBE
Structure: relaxed

DOS at the Fermi energy: 0.458 states/eV/atom
Energy relative to the elements, uncorrected: -1420.6 kJ/mol of formula units
Spin magnetization: 0.0 μB per formula unit
V: 24.05 A^3/atom

a b c (Å): 5.3369 5.3369 15.1972
angles (deg): 90.00 90.00 90.00
Space group I4/mmm (No. 139)
Unique sites:
Nd 0.0000 0.0000 0.1985 x4
Tm 0.0000 0.5000 0.0000 x4
Se 0.0000 0.0000 0.3984 x4
S 0.0000 0.0000 0.0000 x2
S 0.0000 0.5000 0.2500 x4

***

# 5
Compound: Nd2U2Se2S5
Source: Alexandria via LeMat-Bulk
Functional: GGA-PBE
Structure: relaxed

DOS at the Fermi energy: 1.235 states/eV/atom
Energy relative to the elements, uncorrected: -1555.3 kJ/mol of formula units
Spin magnetization: 3.8 μB per formula unit
V: 30.74 A^3/atom

a b c (Å): 5.2430 5.2430 24.6015
angles (deg): 90.00 90.00 90.00
Space group I4/mmm (No. 139)
Unique sites:
Nd 0.0000 0.0000 0.1678 x4
U 0.0000 0.0000 0.3955 x4
Se 0.0000 0.0000 0.2838 x4
S 0.0000 0.0000 0.5000 x2
S 0.0000 0.5000 0.1143 x8

***

# 6
Compound: Nd2YSe2S2
Source: Alexandria via LeMat-Bulk
Functional: GGA-PBE
Structure: relaxed

DOS at the Fermi energy: 0.402 states/eV/atom
Energy relative to the elements, uncorrected: -1095.3 kJ/mol of formula units
Spin magnetization: 0.0 μB per formula unit
V: 27.58 A^3/atom

a b c (Å): 5.0767 5.0767 14.9789
angles (deg): 90.00 90.00 90.00
Space group I4/mmm (No. 139)
Unique sites:
Nd 0.0000 0.0000 0.1232 x4
Y 0.0000 0.0000 0.5000 x2
Se 0.0000 0.0000 0.3137 x4
S 0.0000 0.5000 0.0000 x4

***

# 7
Compound: NdYSeS
Source: Alexandria via LeMat-Bulk
Functional: GGA-PBE
Structure: relaxed

DOS at the Fermi energy: 0.315 states/eV/atom
Energy relative to the elements, uncorrected: -742.0 kJ/mol of formula units
Spin magnetization: 0.0 μB per formula unit
V: 24.03 A^3/atom

a b c (Å): 4.0569 4.0569 20.2341
angles (deg): 90.00 90.00 120.00
Space group R3m (No. 160, hexagonal axes)
Unique sites:
Nd 0.0000 0.0000 0.0000 x3
Y 0.0000 0.0000 0.5163 x3
Se 0.0000 0.0000 0.7622 x3
S 0.0000 0.0000 0.2532 x3

***

# 8
Compound: Nd4ZnSeS2
Source: Alexandria via LeMat-Bulk
Functional: GGA-PBE
Structure: relaxed

DOS at the Fermi energy: 0.415 states/eV/atom
Energy relative to the elements, uncorrected: -1179.8 kJ/mol of formula units
Spin magnetization: 0.0 μB per formula unit
V: 25.52 A^3/atom

a b c (Å): 7.2448 4.1074 7.2481
angles (deg): 90.00 108.83 90.00
Space group P2/m (No. 10)
Unique sites:
Nd 0.2374 0.0000 0.2447 x2
Nd 0.2381 0.5000 0.7442 x2
Zn 0.5000 0.0000 0.0000 x1
Se 0.5000 0.5000 0.5000 x1
S 0.0000 0.0000 0.5000 x1
S 0.0000 0.5000 0.0000 x1